[1]
## LiY2Ru (PBE)

Data for an optimized crystal structure of LiY2Ru.

The space group is I-4m2 (No. 119) and the conventional cell measures 4.1843, 4.1843 and 9.8932 Å, with angles of 90.00, 90.00 and 90.00 degrees. The distinct sites, in fractional coordinates, are Li at (0.0000, 0.0000, 0.0000), Y at (0.0000, 0.0000, 0.5000), Y at (0.0000, 0.5000, 0.2500) and Ru at (0.0000, 0.5000, 0.7500).

The value obtained for the energy above the lowest structure with this stoichiometry is 328 meV/atom.


[2]
## Hf2Al6Cr (PBE)

Data for an optimized crystal structure of Hf2Al6Cr.

The space group is P-3m1 (No. 164) and the conventional cell measures 5.5554, 5.5554 and 5.7404 Å, with angles of 90.00, 90.00 and 120.00 degrees. The distinct sites, in fractional coordinates, are Hf at (0.3333, 0.6667, 0.3768), Al at (0.1747, 0.3493, 0.8158) and Cr at (0.0000, 0.0000, 0.5000).


[3]
## EuInPtRh (PBE)

Data for an optimized crystal structure of EuInPtRh.

The space group is F-43m (No. 216) and the conventional cell measures 6.8144, 6.8144 and 6.8144 Å, with angles of 90.00, 90.00 and 90.00 degrees. The distinct sites, in fractional coordinates, are Eu at (0.0000, 0.0000, 0.0000), In at (0.0000, 0.0000, 0.5000), Pt at (0.2500, 0.2500, 0.7500) and Rh at (0.2500, 0.2500, 0.2500).


| no. | calculated total energy (eV per cell) | V (Å³/cell) |
| --- | --- | --- |
| 1 | -47.7 | 173.2 |
| 2 | -53.6 | 153.4 |
| 3 | -113.7 | 316.4 |